Cr2TcOs | GGA-PBE | optimized geometry

Computed properties:
Formation energy from the elements ... 0.1283 eV per atom
Spin magnetization ... 0.17 μB/f.u.
Fermi-level density of states ... 1.448 states/eV/atom

Cell: 4.2177 4.2177 2.9572 Å, 90.00 90.00 90.00°
Last column: nearest neighbours and their distance in Å.
Positions (direct):
1 Cr 0.0000 0.0000 0.0000  4 Tc 2.58, 4 Os 2.58
2 Cr 0.5000 0.5000 0.0000  4 Tc 2.58, 4 Os 2.58
3 Os 0.5000 0.0000 0.5000  8 Cr 2.58
4 Tc 0.0000 0.5000 0.5000  8 Cr 2.58